1.
Compound: CeYBeZn
Source: Alexandria
Functional: PBE
Structure: optimized geometry

Lattice parameters (Å, degrees): 7.038 7.038 7.038 90.00 90.00 90.00
Element x y z (fractional)
Ce  0.000  0.000  0.000
Ce  0.000  0.500  0.500
Ce  0.500  0.000  0.500
Ce  0.500  0.500  0.000
Y  0.000  0.000  0.500
Y  0.000  0.500  0.000
Y  0.500  0.000  0.000
Y  0.500  0.500  0.500
Be  0.250  0.250  0.250
Be  0.250  0.750  0.750
Be  0.750  0.250  0.750
Be  0.750  0.750  0.250
Zn  0.250  0.250  0.750
Zn  0.250  0.750  0.250
Zn  0.750  0.250  0.250
Zn  0.750  0.750  0.750

Energy of formation ... -0.11 eV/f.u.
Space group ... F-43m, No. 216

2.
Compound: Ce2BeZn
Source: Alexandria
Functional: PBE
Structure: optimized geometry

Lattice parameters (Å, degrees): 4.283 4.283 4.373 90.00 90.00 90.00
Element x y z (fractional)
Ce  0.000  0.500  0.000
Ce  0.500  0.000  0.000
Be  0.000  0.000  0.500
Zn  0.500  0.500  0.500

Energy of formation ... 0.09 eV/f.u.
Space group ... P4/mmm, No. 123

3.
Compound: Ce2BeZn
Source: Alexandria
Functional: PBE
Structure: optimized geometry

Lattice parameters (Å, degrees): 3.542 3.542 6.815 90.00 90.00 90.00
Element x y z (fractional)
Ce  0.000  0.000  0.220
Ce  0.000  0.000  0.780
Be  0.500  0.500  0.000
Zn  0.500  0.500  0.500

Energy of formation ... 0.04 eV/f.u.
Space group ... P4/mmm, No. 123

4.
Compound: CeBeZn
Source: Alexandria
Functional: PBE
Structure: optimized geometry

Lattice parameters (Å, degrees): 6.449 6.449 5.993 90.00 90.00 90.00
Element x y z (fractional)
Ce  0.232  0.232  0.000
Ce  0.268  0.732  0.250
Ce  0.732  0.268  0.750
Ce  0.768  0.768  0.500
Be  0.077  0.077  0.500
Be  0.423  0.577  0.750
Be  0.577  0.423  0.250
Be  0.923  0.923  0.000
Zn  0.178  0.822  0.750
Zn  0.322  0.322  0.500
Zn  0.678  0.678  0.000
Zn  0.822  0.178  0.250

Energy of formation ... 0.75 eV/f.u.
Space group ... P4_12_12, No. 92

5.
Compound: CeBeZn
Source: Alexandria
Functional: PBE
Structure: optimized geometry

Lattice parameters (Å, degrees): 4.388 4.388 3.378 90.00 90.00 120.00
Element x y z (fractional)
Ce  0.000  0.000  0.000
Be  0.667  0.333  0.500
Zn  0.333  0.667  0.500

Energy of formation ... -0.08 eV/f.u.
Space group ... P-6m2, No. 187

6.
Compound: Ce2BeZn
Source: Alexandria
Functional: PBE
Structure: optimized geometry

Lattice parameters (Å, degrees): 2.885 2.885 33.869 90.00 90.00 120.00
Element x y z (fractional)
Ce  0.000  0.000  0.087
Ce  0.000  0.000  0.913
Ce  0.333  0.667  0.580
Ce  0.333  0.667  0.753
Ce  0.667  0.333  0.247
Ce  0.667  0.333  0.420
Be  0.000  0.000  0.000
Be  0.333  0.667  0.667
Be  0.667  0.333  0.333
Zn  0.000  0.000  0.500
Zn  0.333  0.667  0.167
Zn  0.667  0.333  0.833

Energy of formation ... 2.04 eV/f.u.
Space group ... R-3m, No. 166